Sr2HgP2: relaxed, GGA-PBE.

a b c (Å): 3.8185 3.8185 9.6181
angles (deg): 78.55 78.55 90.00
Last column: nearest neighbours and their distance in Å.
Positions (direct):
P (0.2500, 0.7500, 0.5000)  4 P 2.70
P (0.7500, 0.2500, 0.5000)  4 P 2.70
Sr (0.6196, 0.6196, 0.7607)  4 P 3.07
Sr (0.3804, 0.3804, 0.2393)  4 P 3.07
Hg (0.0000, 0.0000, 0.0000)  8 Sr 3.49, 4 Hg 3.82

Values from the calculation:
As for the crystal system: tetragonal. The symmetry is I4/mmm, No. 139.

SrHgP: relaxed, GGA-PBE.

a b c (Å): 5.0871 5.0871 5.0871
angles (deg): 60.00 60.00 60.00
Last column: nearest neighbours and their distance in Å.
Positions (direct):
P (0.5000, 0.5000, 0.5000)  4 Sr 3.12
Sr (0.2500, 0.2500, 0.2500)  4 Hg 3.12, 4 P 3.12
Hg (0.0000, 0.0000, 0.0000)  4 Sr 3.12

Values from the calculation:
As for the crystal system: cubic. The symmetry is F-43m, No. 216. Its energy above the most stable polymorph in this dataset is 453 meV/atom.

Sr2Hg2P: relaxed, GGA-PBE.

a b c (Å): 6.3100 6.3100 6.0580
angles (deg): 58.61 58.61 90.00
Last column: nearest neighbours and their distance in Å.
Positions (direct):
Sr (0.7500, 0.2500, 0.5000)  4 Hg 3.22
Sr (0.2500, 0.7500, 0.5000)  4 Hg 3.22
Hg (0.3310, 0.3310, 0.3380)  1 P 2.71, 1 Hg 2.77
Hg (0.6690, 0.6690, 0.6620)  1 P 2.71, 1 Hg 2.77
P (0.0000, 0.0000, 0.0000)  2 Hg 2.71

Values from the calculation:
As for the crystal system: tetragonal. The symmetry is I4/mmm, No. 139. Its energy above the most stable polymorph in this dataset is 192 meV/atom.

SrHg2P2: relaxed, GGA-PBE.

a b c (Å): 4.9007 4.9007 6.1050
angles (deg): 66.34 66.34 90.00
Last column: nearest neighbours and their distance in Å.
Positions (direct):
Sr (0.0000, 0.0000, 0.0000)  8 P 3.51, 10 Hg 3.64-3.73
Hg (0.6377, 0.6377, 0.7247)  4 P 2.70, 1 Hg 2.77
Hg (0.3623, 0.3623, 0.2753)  4 P 2.70, 1 Hg 2.77
P (0.7500, 0.2500, 0.5000)  4 Hg 2.70
P (0.2500, 0.7500, 0.5000)  4 Hg 2.70

Values from the calculation:
As for the crystal system: tetragonal. The symmetry is I4/mmm, No. 139.

SrHgP: relaxed, GGA-PBE.

a b c (Å): 7.0899 5.8520 10.7307
angles (deg): 90.00 130.02 90.00
Last column: nearest neighbours and their distance in Å.
Positions (direct):
Sr (0.3312, 0.0000, 0.8188)  4 P 3.10-3.16, 3 Hg 3.42-3.45
Sr (0.7989, 0.0000, 0.2985)  4 P 3.05-3.10, 1 Hg 3.28
Sr (0.3312, 0.5000, 0.3188)  4 P 3.10-3.16, 3 Hg 3.42-3.45
Sr (0.7989, 0.5000, 0.7985)  4 P 3.05-3.10, 1 Hg 3.28
P (0.8022, 0.3067, 0.0640)  1 P 2.26
P (0.8022, 0.8067, 0.5640)  1 P 2.26
P (0.8022, 0.6933, 0.0640)  1 P 2.26
P (0.8022, 0.1933, 0.5640)  1 P 2.26
Hg (0.1799, 0.0000, 0.1029)  2 P 3.02
Hg (0.1799, 0.5000, 0.6029)  2 P 3.02
Hg (0.4018, 0.0000, 0.5318)  2 P 2.86
Hg (0.4018, 0.5000, 0.0318)  2 P 2.86

Values from the calculation:
As for the crystal system: monoclinic. The symmetry is Cm, No. 8. Its energy above the most stable polymorph in this dataset is 50 meV/atom.

SrHgP: relaxed, GGA-PBE.

a b c (Å): 4.8008 5.1527 7.8873
angles (deg): 81.72 89.97 63.39
Last column: nearest neighbours and their distance in Å.
Positions (direct):
Sr (0.8404, 0.6461, 0.7111)  4 P 3.04-3.19
Sr (0.9441, 0.4336, 0.2774)  5 P 2.95-3.23
P (0.6338, 0.0335, 0.3616)  1 P 2.17
P (0.4955, 0.3232, 0.5524)  1 P 2.17
Hg (0.2073, 0.9043, 0.9912)  3 Hg 2.91-2.96
Hg (0.5319, 0.2649, 0.9851)  3 Hg 2.91-2.96, 1 P 2.99

Values from the calculation:
As for the crystal system: triclinic. The symmetry is P1, No. 1. Its energy above the most stable polymorph in this dataset is 93 meV/atom.

SrHg2P: relaxed, GGA-PBE.

a b c (Å): 6.1564 6.1564 6.1564
angles (deg): 141.45 134.60 61.04
Last column: nearest neighbours and their distance in Å.
Positions (direct):
P (0.5000, 0.0000, 0.5000)  4 Hg 3.08, 4 Sr 3.13
Hg (0.7183, 0.7183, 0.0000)  2 P 3.08, 4 Hg 3.20, 2 Sr 3.32
Hg (0.2817, 0.2817, 0.0000)  2 P 3.08, 4 Hg 3.20, 2 Sr 3.32
Sr (0.0000, 0.5000, 0.5000)  4 P 3.13, 4 Hg 3.32

Values from the calculation:
As for the crystal system: orthorhombic. The symmetry is Immm, No. 71.

SrHg2P: relaxed, GGA-PBE.

a b c (Å): 4.3318 4.2971 6.5975
angles (deg): 90.00 90.00 90.00
Last column: nearest neighbours and their distance in Å.
Positions (direct):
P (0.0000, 0.0000, 0.5861)  1 Hg 2.57
Hg (0.5000, 0.5000, 0.1030)  4 Hg 3.11, 2 Sr 3.22-3.38
Hg (0.0000, 0.0000, 0.1960)  1 P 2.57
Sr (0.5000, 0.5000, 0.6149)  4 P 3.06, 2 Hg 3.22-3.38

Values from the calculation:
As for the crystal system: orthorhombic. The symmetry is Pmm2, No. 25.

no.,ΔE_f (meV/atom),electronic total energy (eV per atom),ρ (g/cm³)
1,-437,-3.334,5.40
2,-195,-2.659,5.69
3,-188,-2.064,6.18
4,-136,-2.757,7.58
5,-598,-3.062,6.22
6,-555,-3.020,6.16
7,-329,-2.253,8.43
8,-271,-2.195,7.03